## Sm2In6Ni (PBE)

Data for a geometry-optimized Sm2In6Ni structure.

Output
SG: Amm2, No. 38
energy relative to the elements: -253.2 meV per atom
final energy: -3.770 eV/atom
total magnetization: 0.00 μB per atom

Cell lengths 4.7183, 3.8862, 12.8005 Å; angles 90.00, 100.62, 90.00 degrees
Positions (direct):
In  0.1074  0.5000  0.2148
In  0.8839  0.5000  0.7678
In  0.5863  0.0000  0.1727
In  0.4537  0.5000  0.9073
In  0.7097  0.0000  0.4195
In  0.2228  0.5000  0.4455
Ni  0.7824  0.5000  0.5648
Sm  0.3268  0.0000  0.6536
Sm  0.9960  0.0000  0.9920

=====

## SmIn12Ni5 (PBE)

Data for a geometry-optimized SmIn12Ni5 structure.

Output
SG: Immm, No. 71
energy relative to the elements: -119.0 meV per atom
final energy: -3.813 eV/atom
total magnetization: 0.00 μB per atom

Cell lengths 7.9162, 7.9162, 7.9162 Å; angles 98.93, 112.15, 117.88 degrees
Positions (direct):
In  0.8100  0.0441  0.2340
In  0.6873  0.6675  0.3548
In  0.6873  0.3325  0.0199
In  0.4509  0.1767  0.2741
In  0.3127  0.3325  0.6452
In  0.3127  0.6675  0.9801
In  0.1900  0.9559  0.7660
In  0.8100  0.5760  0.7660
In  0.0974  0.8233  0.2741
In  0.5491  0.8233  0.7259
In  0.1900  0.4240  0.2340
In  0.9026  0.1767  0.7259
Ni  0.5000  0.8741  0.3741
Ni  0.3242  0.3242  0.0000
Ni  0.6758  0.6758  0.0000
Ni  0.5000  0.1259  0.6259
Ni  0.0000  0.0000  0.0000
Sm  0.0000  0.5000  0.5000

=====

## SmIn6Ni4 (PBE)

Data for a geometry-optimized SmIn6Ni4 structure.

Output
SG: I-42m, No. 121
energy relative to the elements: -282.8 meV per atom
final energy: -4.308 eV/atom
total magnetization: 0.00 μB per atom

Cell lengths 6.7332, 6.7332, 6.7654 Å; angles 119.84, 119.84, 90.00 degrees
Positions (direct):
In  0.9704  0.9704  0.5791
In  0.6086  0.6086  0.5791
In  0.5000  0.0000  0.0000
In  0.3914  0.0296  0.4209
In  0.0000  0.5000  0.0000
In  0.0296  0.3914  0.4209
Sm  0.5000  0.5000  0.0000
Ni  0.7670  0.0949  0.8618
Ni  0.9051  0.9051  0.1382
Ni  0.2330  0.2330  0.1382
Ni  0.0949  0.7670  0.8618

=====

## SmIn3Ni (PBE)

Data for a geometry-optimized SmIn3Ni structure.

Output
SG: Pnma, No. 62
energy relative to the elements: -368.1 meV per atom
final energy: -4.111 eV/atom
total magnetization: 0.00 μB per atom

Cell lengths 4.3761, 8.9220, 11.5382 Å; angles 90.00, 90.00, 90.00 degrees
Positions (direct):
In  0.2500  0.3853  0.7005
In  0.7500  0.6395  0.7139
In  0.7500  0.6147  0.2995
In  0.2500  0.8853  0.7995
In  0.2500  0.3605  0.2861
In  0.7500  0.1147  0.2005
In  0.7500  0.4393  0.9181
In  0.2500  0.0607  0.4181
In  0.7500  0.1395  0.7861
In  0.2500  0.8605  0.2139
In  0.7500  0.9393  0.5819
In  0.2500  0.5607  0.0819
Ni  0.7500  0.3979  0.1450
Ni  0.2500  0.1021  0.6450
Ni  0.7500  0.8979  0.3550
Ni  0.2500  0.6021  0.8550
Sm  0.2500  0.6892  0.5062
Sm  0.7500  0.8108  0.0062
Sm  0.7500  0.3108  0.4938
Sm  0.2500  0.1892  0.9938

=====

## Sm3In5Ni2 (PBE)

Data for a geometry-optimized Sm3In5Ni2 structure.

Output
SG: P4/mbm, No. 127
energy relative to the elements: -434.4 meV per atom
final energy: -4.376 eV/atom
total magnetization: 0.00 μB per atom

Cell lengths 4.3831, 10.2204, 10.2204 Å; angles 90.00, 90.00, 90.00 degrees
Positions (direct):
Sm  0.0000  0.1721  0.3279
Sm  0.0000  0.8279  0.6721
Sm  0.0000  0.3279  0.8279
Sm  0.0000  0.0000  0.0000
Sm  0.0000  0.5000  0.5000
Sm  0.0000  0.6721  0.1721
Ni  0.0000  0.1264  0.6264
Ni  0.0000  0.3736  0.1264
Ni  0.0000  0.8736  0.3736
Ni  0.0000  0.6264  0.8736
In  0.5000  0.0000  0.5000
In  0.5000  0.7183  0.4331
In  0.5000  0.0669  0.7817
In  0.5000  0.2183  0.0669
In  0.5000  0.5000  0.0000
In  0.5000  0.7817  0.9331
In  0.5000  0.2817  0.5669
In  0.5000  0.4331  0.2817
In  0.5000  0.5669  0.7183
In  0.5000  0.9331  0.2183

=====

## Sm2InNi (PBE)

Data for a geometry-optimized Sm2InNi structure.

Output
SG: P4/mmm, No. 123
energy relative to the elements: -375.8 meV per atom
final energy: -4.865 eV/atom
total magnetization: 0.00 μB per atom

Cell lengths 3.5370, 3.5370, 7.7879 Å; angles 90.00, 90.00, 90.00 degrees
Positions (direct):
Sm  0.0000  0.0000  0.7855
Sm  0.0000  0.0000  0.2145
Ni  0.5000  0.5000  0.0000
In  0.5000  0.5000  0.5000

=====

## SmIn4Ni4 (PBE)

Data for a geometry-optimized SmIn4Ni4 structure.

Output
SG: P4_2/nmc, No. 137
energy relative to the elements: -147.1 meV per atom
final energy: -4.458 eV/atom
total magnetization: 0.00 μB per atom

Cell lengths 5.9353, 5.9353, 9.4155 Å; angles 90.00, 90.00, 90.00 degrees
Positions (direct):
Ni  0.5000  0.2046  0.0762
Ni  0.7046  0.0000  0.5762
Ni  0.7954  0.5000  0.9238
Ni  0.5000  0.7954  0.0762
Ni  0.0000  0.7046  0.4238
Ni  0.0000  0.2954  0.4238
Ni  0.2046  0.5000  0.9238
Ni  0.2954  0.0000  0.5762
In  0.7358  0.0000  0.3011
In  0.2358  0.5000  0.1989
In  0.0000  0.2642  0.6989
In  0.7642  0.5000  0.1989
In  0.5000  0.2358  0.8011
In  0.0000  0.7358  0.6989
In  0.5000  0.7642  0.8011
In  0.2642  0.0000  0.3011
Sm  0.5000  0.5000  0.5000
Sm  0.0000  0.0000  0.0000

=====

## Sm3In7Ni4 (PBE)

Data for a geometry-optimized Sm3In7Ni4 structure.

Output
SG: C2/m, No. 12
energy relative to the elements: -370.3 meV per atom
final energy: -4.403 eV/atom
total magnetization: 0.00 μB per atom

Cell lengths 4.3613, 8.5258, 8.9182 Å; angles 69.71, 75.85, 75.18 degrees
Positions (direct):
In  0.3168  0.8356  0.5308
In  0.1644  0.5954  0.0759
In  0.6832  0.1644  0.4692
In  0.4937  0.2350  0.7777
In  0.5063  0.7650  0.2223
In  0.8356  0.4046  0.9241
In  0.0000  0.0000  0.0000
Ni  0.8818  0.8998  0.3365
Ni  0.3348  0.5559  0.7746
Ni  0.6652  0.4441  0.2254
Ni  0.1181  0.1002  0.6635
Sm  0.6894  0.8202  0.8009
Sm  0.0000  0.5000  0.5000
Sm  0.3106  0.1798  0.1991

=====

## Sm2InNi2 (PBE)

Data for a geometry-optimized Sm2InNi2 structure.

Output
SG: Cmmm, No. 65
energy relative to the elements: -482.1 meV per atom
final energy: -5.230 eV/atom
total magnetization: 0.00 μB per atom

Cell lengths 3.7836, 3.9377, 7.5435 Å; angles 105.11, 90.00, 90.00 degrees
Positions (direct):
Sm  0.5000  0.3627  0.7245
Sm  0.5000  0.6373  0.2755
Ni  0.0000  0.1998  0.4000
Ni  0.0000  0.8002  0.6000
In  0.0000  0.0000  0.0000

=====

## SmInNi17 (PBE)

Data for a geometry-optimized SmInNi17 structure.

Output
SG: R3m, No. 160
energy relative to the elements: -57.9 meV per atom
final energy: -5.623 eV/atom
total magnetization: 0.40 μB per atom

Cell lengths 6.2384, 6.2384, 6.2384 Å; angles 82.97, 82.97, 82.97 degrees
Positions (direct):
Ni  0.0012  0.7047  0.2923
Ni  0.8581  0.3425  0.3425
Ni  0.9037  0.9037  0.9037
Ni  0.1031  0.1031  0.1031
Ni  0.7047  0.2923  0.0012
Ni  0.2923  0.7047  0.0012
Ni  0.5061  0.9942  0.9942
Ni  0.3425  0.3425  0.8581
Ni  0.7047  0.0012  0.2923
Ni  0.9942  0.5061  0.9942
Ni  0.1621  0.6474  0.6474
Ni  0.0012  0.2923  0.7047
Ni  0.2923  0.0012  0.7047
Ni  0.3425  0.8581  0.3425
Ni  0.9942  0.9942  0.5061
Ni  0.6474  0.6474  0.1621
Ni  0.6474  0.1621  0.6474
Sm  0.6585  0.6585  0.6585
In  0.3438  0.3438  0.3438

=====

## Sm12InNi5 (PBE)

Data for a geometry-optimized Sm12InNi5 structure.

Output
SG: Immm, No. 71
energy relative to the elements: -281.9 meV per atom
final energy: -5.186 eV/atom
total magnetization: 0.00 μB per atom

Cell lengths 8.5186, 8.5186, 8.5186 Å; angles 106.96, 111.79, 109.71 degrees
Positions (direct):
Sm  0.3064  0.6779  0.9843
Sm  0.4809  0.1818  0.2990
Sm  0.1894  0.3974  0.2079
Sm  0.6936  0.6779  0.3715
Sm  0.1894  0.9815  0.7921
Sm  0.3064  0.3221  0.6285
Sm  0.1172  0.8182  0.2990
Sm  0.8106  0.6026  0.7921
Sm  0.8106  0.0185  0.2079
Sm  0.6936  0.3221  0.0157
Sm  0.5191  0.8182  0.7010
Sm  0.8828  0.1818  0.7010
Ni  0.0000  0.0000  0.0000
Ni  0.6318  0.6318  0.0000
Ni  0.5000  0.8763  0.3763
Ni  0.5000  0.1237  0.6237
Ni  0.3682  0.3682  0.0000
In  0.0000  0.5000  0.5000

=====

## Sm2InNi16 (PBE)

Data for a geometry-optimized Sm2InNi16 structure.

Output
SG: R3m, No. 160
energy relative to the elements: -188.7 meV per atom
final energy: -5.698 eV/atom
total magnetization: 0.24 μB per atom

Cell lengths 6.3512, 6.3512, 6.3512 Å; angles 82.98, 82.98, 82.98 degrees
Positions (direct):
Ni  0.0016  0.0016  0.4928
Ni  0.9998  0.3017  0.6984
Ni  0.6984  0.9998  0.3017
Ni  0.1581  0.6531  0.6531
Ni  0.3417  0.3417  0.8431
Ni  0.6984  0.3017  0.9998
Ni  0.0016  0.4928  0.0016
Ni  0.9998  0.6984  0.3017
Ni  0.3417  0.8431  0.3417
Ni  0.6531  0.1581  0.6531
Ni  0.4928  0.0016  0.0016
Ni  0.3017  0.9998  0.6984
Ni  0.1119  0.1119  0.1119
Ni  0.6531  0.6531  0.1581
Ni  0.3017  0.6984  0.9998
Ni  0.8431  0.3417  0.3417
In  0.9096  0.9096  0.9096
Sm  0.3415  0.3415  0.3415
Sm  0.6504  0.6504  0.6504